# 1
Mg2SbAs, optimized geometry, DFT GGA-PBE; ΔE to the lowest computed polymorph = 6 meV per atom; calculated volume = 23.99 A^3/atom; total magnetization = 0.00 Bohr magnetons per cell; E_form (uncorrected) = -0.312 eV/atom
1.0
2.189 1.264 5.778
-2.189 1.264 5.778
0.000 -2.528 5.778
Mg Sb As
2 1 1
direct
0.000 0.000 0.000
0.184 0.184 0.184
0.423 0.423 0.423
0.589 0.589 0.589



# 2
MgSb2As, optimized geometry, DFT GGA-PBE; ΔE to the lowest computed polymorph = 45 meV per atom; calculated volume = 26.18 A^3/atom; total magnetization = 0.00 Bohr magnetons per cell; E_form (uncorrected) = -0.048 eV/atom
1.0
3.786 0.000 0.000
0.000 4.504 0.000
0.000 0.000 6.141
Mg Sb As
1 2 1
direct
0.000 0.000 0.000
0.000 0.000 0.483
0.500 0.500 0.959
0.500 0.500 0.529



# 3
MgSb2As, optimized geometry, DFT GGA-PBE; ΔE to the lowest computed polymorph = 218 meV per atom; calculated volume = 23.95 A^3/atom; total magnetization = 0.00 Bohr magnetons per cell; E_form (uncorrected) = 0.125 eV/atom
1.0
3.183 -5.066 0.000
3.183 5.066 0.000
-1.095 0.000 2.970
Mg Sb As
1 2 1
direct
0.000 0.000 0.000
0.000 0.500 0.500
0.500 0.000 0.500
0.500 0.500 0.000



# 4
Mg2SbAs, optimized geometry, DFT GGA-PBE; ΔE to the lowest computed polymorph = 118 meV per atom; calculated volume = 22.13 A^3/atom; total magnetization = 0.00 Bohr magnetons per cell; E_form (uncorrected) = -0.200 eV/atom
1.0
2.274 -2.451 0.000
2.274 2.451 0.000
0.000 0.000 7.942
Mg Sb As
2 1 1
direct
0.000 0.000 0.214
0.000 0.000 0.786
0.500 0.500 0.500
0.500 0.500 0.000



# 5
Mg2SbAs, optimized geometry, DFT GGA-PBE; ΔE to the lowest computed polymorph = 135 meV per atom; calculated volume = 23.24 A^3/atom; total magnetization = 0.00 Bohr magnetons per cell; E_form (uncorrected) = -0.183 eV/atom
1.0
3.951 0.000 0.000
0.000 3.951 0.000
0.000 0.000 5.956
Mg Sb As
2 1 1
direct
0.000 0.000 0.000
0.500 0.500 0.359
0.000 0.000 0.510
0.500 0.500 0.906



# 6
MgSb2As, optimized geometry, DFT GGA-PBE; ΔE to the lowest computed polymorph = 204 meV per atom; calculated volume = 24.18 A^3/atom; total magnetization = 0.00 Bohr magnetons per cell; E_form (uncorrected) = 0.111 eV/atom
1.0
-2.439 2.439 4.065
2.439 -2.439 4.065
2.439 2.439 -4.065
Mg Sb As
1 2 1
direct
0.000 0.000 0.000
0.250 0.750 0.500
0.500 0.500 0.000
0.750 0.250 0.500



# 7
MgSb2As, optimized geometry, DFT GGA-PBE; ΔE to the lowest computed polymorph = 150 meV per atom; calculated volume = 33.93 A^3/atom; total magnetization = 0.00 Bohr magnetons per cell; E_form (uncorrected) = 0.057 eV/atom
1.0
-3.221 3.221 6.541
3.221 -3.221 6.541
3.221 3.221 -6.541
Mg Sb As
2 4 2
direct
0.000 0.000 0.000
0.750 0.250 0.500
0.136 0.625 0.011
0.375 0.386 0.511
0.614 0.125 0.989
0.875 0.864 0.489
0.250 0.750 0.500
0.500 0.500 0.000



# 8
MgSb2As, optimized geometry, DFT GGA-PBE; ΔE to the lowest computed polymorph = 140 meV per atom; calculated volume = 23.59 A^3/atom; total magnetization = 0.00 Bohr magnetons per cell; E_form (uncorrected) = 0.047 eV/atom
1.0
3.525 0.000 0.000
0.000 3.525 0.000
0.000 0.000 7.592
Mg Sb As
1 2 1
direct
0.000 0.000 0.000
0.000 0.000 0.576
0.500 0.500 0.258
0.500 0.500 0.799



# 9
Mg2SbAs, optimized geometry, DFT GGA-PBE; ΔE to the lowest computed polymorph = 0 meV per atom; calculated volume = 23.32 A^3/atom; total magnetization = 0.00 Bohr magnetons per cell; E_form (uncorrected) = -0.318 eV/atom
1.0
1.866 1.077 7.734
-1.866 1.077 7.734
0.000 -2.155 7.734
Mg Sb As
2 1 1
direct
0.234 0.234 0.234
0.766 0.766 0.766
0.000 0.000 0.000
0.500 0.500 0.500



# 10
Mg2Sb2As, optimized geometry, DFT GGA-PBE; ΔE to the lowest computed polymorph = 237 meV per atom; calculated volume = 27.24 A^3/atom; total magnetization = 0.00 Bohr magnetons per cell; E_form (uncorrected) = 0.201 eV/atom
1.0
-2.515 2.515 5.385
2.515 -2.515 5.385
2.515 2.515 -5.385
Mg Sb As
2 2 1
direct
0.250 0.750 0.500
0.750 0.250 0.500
0.127 0.127 0.000
0.873 0.873 0.000
0.500 0.500 0.000



# 11
MgSb3As, optimized geometry, DFT GGA-PBE; ΔE to the lowest computed polymorph = 0 meV per atom; calculated volume = 31.36 A^3/atom; total magnetization = 0.00 Bohr magnetons per cell; E_form (uncorrected) = 0.560 eV/atom
1.0
5.392 0.000 0.000
0.000 5.392 0.000
0.000 0.000 5.392
Mg Sb As
1 3 1
direct
0.000 0.000 0.000
0.000 0.500 0.500
0.500 0.000 0.500
0.500 0.500 0.000
0.500 0.500 0.500



# 12
Mg2Sb2As, optimized geometry, DFT GGA-PBE; ΔE to the lowest computed polymorph = 28 meV per atom; calculated volume = 24.92 A^3/atom; total magnetization = 0.00 Bohr magnetons per cell; E_form (uncorrected) = -0.009 eV/atom
1.0
7.945 0.000 0.000
0.000 7.945 0.000
0.000 0.000 3.948
Mg Sb As
4 4 2
direct
0.137 0.363 0.000
0.363 0.863 0.000
0.637 0.137 0.000
0.863 0.637 0.000
0.170 0.670 0.500
0.330 0.170 0.500
0.670 0.830 0.500
0.830 0.330 0.500
0.000 0.000 0.500
0.500 0.500 0.500



# 13
Mg4SbAs, optimized geometry, DFT GGA-PBE; calculated volume = 22.59 A^3/atom; total magnetization = 0.00 Bohr magnetons per cell; E_form (uncorrected) = 0.082 eV/atom
1.0
0.000 4.077 4.077
4.077 0.000 4.077
4.077 4.077 0.000
Mg Sb As
4 1 1
direct
0.125 0.125 0.125
0.125 0.125 0.624
0.125 0.624 0.125
0.624 0.125 0.125
0.750 0.750 0.750
0.500 0.500 0.500



# 14
MgSbAs3, optimized geometry, DFT GGA-PBE; ΔE to the lowest computed polymorph = 0 meV per atom; calculated volume = 24.74 A^3/atom; total magnetization = 0.00 Bohr magnetons per cell; E_form (uncorrected) = 0.636 eV/atom
1.0
4.982 0.000 0.000
0.000 4.982 0.000
0.000 0.000 4.982
Mg Sb As
1 1 3
direct
0.000 0.000 0.000
0.500 0.500 0.500
0.000 0.000 0.500
0.000 0.500 0.000
0.500 0.000 0.000



# 15
Mg2Sb2As, optimized geometry, DFT GGA-PBE; ΔE to the lowest computed polymorph = 0 meV per atom; calculated volume = 24.82 A^3/atom; total magnetization = 0.00 Bohr magnetons per cell; E_form (uncorrected) = -0.036 eV/atom
1.0
7.315 0.000 0.000
0.000 7.315 0.000
0.000 0.000 4.638
Mg Sb As
4 4 2
direct
0.165 0.335 0.000
0.335 0.835 0.000
0.665 0.165 0.000
0.835 0.665 0.000
0.137 0.637 0.500
0.363 0.137 0.500
0.637 0.863 0.500
0.863 0.363 0.500
0.000 0.000 0.000
0.500 0.500 0.000



# 16
MgSb2As, optimized geometry, DFT GGA-PBE; ΔE to the lowest computed polymorph = 252 meV per atom; calculated volume = 23.93 A^3/atom; total magnetization = 0.00 Bohr magnetons per cell; E_form (uncorrected) = 0.159 eV/atom
1.0
0.000 3.630 3.630
3.630 0.000 3.630
3.630 3.630 0.000
Mg Sb As
1 2 1
direct
0.000 0.000 0.000
0.250 0.250 0.250
0.750 0.750 0.750
0.500 0.500 0.500



# 17
MgSb2As, optimized geometry, DFT GGA-PBE; ΔE to the lowest computed polymorph = 22 meV per atom; calculated volume = 24.83 A^3/atom; total magnetization = 0.00 Bohr magnetons per cell; E_form (uncorrected) = -0.071 eV/atom
1.0
3.131 0.000 0.000
0.000 3.938 0.000
-0.068 0.000 8.056
Mg Sb As
1 2 1
direct
0.000 0.000 0.000
0.496 0.500 0.256
0.497 0.000 0.550
0.499 0.500 0.827



# 18
MgSb4As, optimized geometry, DFT GGA-PBE; calculated volume = 27.86 A^3/atom; total magnetization = 0.00 Bohr magnetons per cell; E_form (uncorrected) = 0.413 eV/atom
1.0
0.000 4.372 4.372
4.372 0.000 4.372
4.372 4.372 0.000
Mg Sb As
1 4 1
direct
0.000 0.000 0.000
0.125 0.625 0.625
0.625 0.125 0.625
0.625 0.625 0.125
0.625 0.625 0.625
0.250 0.250 0.250



# 19
MgSb2As, optimized geometry, DFT GGA-PBE; ΔE to the lowest computed polymorph = 177 meV per atom; calculated volume = 23.88 A^3/atom; total magnetization = 0.00 Bohr magnetons per cell; E_form (uncorrected) = 0.085 eV/atom
1.0
3.704 0.000 0.000
0.000 4.934 0.000
0.000 0.000 5.226
Mg Sb As
1 2 1
direct
0.000 0.000 0.000
0.000 0.500 0.500
0.500 0.500 0.000
0.500 0.000 0.500



# 20
MgSb2As, optimized geometry, DFT GGA-PBE; ΔE to the lowest computed polymorph = 257 meV per atom; calculated volume = 24.28 A^3/atom; total magnetization = 0.00 Bohr magnetons per cell; E_form (uncorrected) = 0.164 eV/atom
1.0
2.091 -2.720 0.000
2.091 2.720 0.000
0.000 0.000 8.539
Mg Sb As
1 2 1
direct
0.000 0.000 0.000
0.500 0.500 0.253
0.500 0.500 0.747
0.000 0.000 0.500



# 21
MgSb2As2, optimized geometry, DFT GGA-PBE; ΔE to the lowest computed polymorph = 100 meV per atom; calculated volume = 27.42 A^3/atom; total magnetization = 0.00 Bohr magnetons per cell; E_form (uncorrected) = 0.158 eV/atom
1.0
-2.772 2.772 4.462
2.772 -2.772 4.462
2.772 2.772 -4.462
Mg Sb As
1 2 2
direct
0.000 0.000 0.000
0.328 0.328 0.000
0.672 0.672 0.000
0.250 0.750 0.500
0.750 0.250 0.500



# 22
MgSbAsSe2, optimized geometry, DFT GGA-PBE; ΔE to the lowest computed polymorph = 0 meV per atom; calculated volume = 25.14 A^3/atom; total magnetization = 0.00 Bohr magnetons per cell; E_form (uncorrected) = 0.295 eV/atom
1.0
4.987 0.000 0.000
0.000 4.987 0.000
0.000 0.000 5.054
Mg Sb As Se
1 1 1 2
direct
0.000 0.000 0.000
0.500 0.500 0.500
0.000 0.000 0.500
0.000 0.500 0.000
0.500 0.000 0.000



# 23
MgSbAs2Se, optimized geometry, DFT GGA-PBE; ΔE to the lowest computed polymorph = 0 meV per atom; calculated volume = 25.04 A^3/atom; total magnetization = 0.00 Bohr magnetons per cell; E_form (uncorrected) = 0.484 eV/atom
1.0
4.994 0.000 0.000
0.000 4.994 0.000
0.000 0.000 5.020
Mg Sb As Se
1 1 2 1
direct
0.000 0.000 0.000
0.500 0.500 0.500
0.000 0.500 0.000
0.500 0.000 0.000
0.000 0.000 0.500



# 24
MgSbTe2As, optimized geometry, DFT GGA-PBE; ΔE to the lowest computed polymorph = 0 meV per atom; calculated volume = 32.37 A^3/atom; total magnetization = 0.00 Bohr magnetons per cell; E_form (uncorrected) = 0.411 eV/atom
1.0
5.572 0.000 0.000
0.000 5.572 0.000
0.000 0.000 5.214
Mg Sb Te As
1 1 2 1
direct
0.000 0.000 0.000
0.500 0.500 0.000
0.000 0.500 0.500
0.500 0.000 0.500
0.500 0.500 0.500



# 25
MgSbTe2As, optimized geometry, DFT GGA-PBE; ΔE to the lowest computed polymorph = 205 meV per atom; calculated volume = 30.73 A^3/atom; total magnetization = 0.00 Bohr magnetons per cell; E_form (uncorrected) = 0.615 eV/atom
1.0
5.343 0.000 0.000
0.000 5.343 0.000
0.000 0.000 5.382
Mg Sb Te As
1 1 2 1
direct
0.000 0.000 0.000
0.000 0.000 0.500
0.000 0.500 0.000
0.500 0.000 0.000
0.500 0.500 0.500



# 26
MgSb2TeAs, optimized geometry, DFT GGA-PBE; ΔE to the lowest computed polymorph = 203 meV per atom; calculated volume = 30.41 A^3/atom; total magnetization = 0.00 Bohr magnetons per cell; E_form (uncorrected) = 0.699 eV/atom
1.0
5.332 0.000 0.000
0.000 5.332 0.000
0.000 0.000 5.349
Mg Sb Te As
1 2 1 1
direct
0.000 0.000 0.000
0.000 0.500 0.000
0.500 0.000 0.000
0.000 0.000 0.500
0.500 0.500 0.500



# 27
MgSb2TeAs, optimized geometry, DFT GGA-PBE; ΔE to the lowest computed polymorph = 0 meV per atom; calculated volume = 31.76 A^3/atom; total magnetization = 0.00 Bohr magnetons per cell; E_form (uncorrected) = 0.496 eV/atom
1.0
5.329 0.000 0.000
0.000 5.329 0.000
0.000 0.000 5.590
Mg Sb Te As
1 2 1 1
direct
0.000 0.000 0.000
0.000 0.500 0.500
0.500 0.000 0.500
0.500 0.500 0.000
0.500 0.500 0.500



# 28
MgSbTeAs2, optimized geometry, DFT GGA-PBE; calculated volume = 27.16 A^3/atom; total magnetization = 0.00 Bohr magnetons per cell; E_form (uncorrected) = 0.602 eV/atom
1.0
4.937 0.000 0.000
0.000 4.937 0.000
0.000 0.000 5.573
Mg Sb Te As
1 1 1 2
direct
0.000 0.000 0.000
0.000 0.000 0.500
0.500 0.500 0.500
0.000 0.500 0.000
0.500 0.000 0.000



# 29
MgVSb2As, optimized geometry, DFT GGA-PBE; calculated volume = 26.62 A^3/atom; total magnetization = 0.17 Bohr magnetons per cell; E_form (uncorrected) = 1.252 eV/atom
1.0
5.201 0.000 0.000
0.000 5.201 0.000
0.000 0.000 4.921
Mg V Sb As
1 1 2 1
direct
0.000 0.000 0.000
0.000 0.000 0.500
0.000 0.500 0.000
0.500 0.000 0.000
0.500 0.500 0.500



Number 1: E -3.303 eV per atom. Number 2: E -3.670 eV per atom. Number 3: E -3.497 eV per atom. Number 4: E -3.190 eV per atom. Number 5: E -3.173 eV per atom. Number 6: E -3.511 eV per atom. Number 7: E -3.565 eV per atom. Number 8: E -3.575 eV per atom. Number 9: E -3.308 eV per atom. Number 10: E -3.016 eV per atom. Number 11: E -3.163 eV per atom. Number 12: E -3.225 eV per atom. Number 13: E -2.443 eV per atom. Number 14: E -3.297 eV per atom. Number 15: E -3.253 eV per atom. Number 16: E -3.463 eV per atom. Number 17: E -3.693 eV per atom. Number 18: E -3.376 eV per atom. Number 19: E -3.538 eV per atom. Number 20: E -3.458 eV per atom. Number 21: E -3.669 eV per atom. Number 22: E -3.172 eV per atom. Number 23: E -3.216 eV per atom. Number 24: E -2.919 eV per atom. Number 25: E -2.715 eV per atom. Number 26: E -2.827 eV per atom. Number 27: E -3.031 eV per atom. Number 28: E -3.030 eV per atom. Number 29: E -3.470 eV per atom.